DFT (PBE-GGA) results for a relaxed structure of La3YAu2.

Output
SG: No. 26
DFT formation energy, meV per atom: -566

Unit cell a=5.169 b=7.270 c=9.471 alpha=90.00 beta=90.00 gamma=90.00
Positions (direct):
La 0.500 0.154 0.836
La 0.500 0.654 0.164
Au 0.500 0.230 0.161
La 0.000 0.345 0.336
Au 0.000 0.771 0.354
Y 0.500 0.005 0.429
La 0.000 0.845 0.664
Au 0.000 0.271 0.646
Au 0.500 0.730 0.839
La 0.000 0.995 0.078
Y 0.500 0.505 0.571
La 0.000 0.495 0.922